No. 1
Entry from Alexandria via LeMat-Bulk: ZnCdRu at its PBEsol-relaxed geometry (SCAN).

CIF file:
```
data_ZnCdRu
_chemical_formula_sum 'Zn1 Cd1 Ru1'
_cell_length_a 4.3889
_cell_length_b 4.3889
_cell_length_c 2.7339
_cell_angle_alpha 90.00
_cell_angle_beta 90.00
_cell_angle_gamma 120.00
_space_group_name_H-M_alt 'P 3 m 1'
_space_group_IT_number 156
loop_
_space_group_symop_operation_xyz
'x,y,z'
'-y,x-y,z'
'-x+y,-x,z'
'-y,-x,z'
'-x+y,y,z'
'x,x-y,z'
loop_
_atom_site_label
_atom_site_type_symbol
_atom_site_fract_x
_atom_site_fract_y
_atom_site_fract_z
Zn1 Zn 0.0000 0.0000 0.0000
Cd1 Cd 0.3333 0.6667 0.2082
Ru1 Ru 0.6667 0.3333 0.6664
```

Properties
Total DFT energy (no corrections)   -26.009 eV/atom

No. 2
Entry from Alexandria via LeMat-Bulk: LaTeWSe2 at its PBEsol-relaxed geometry (SCAN).

CIF file:
```
data_LaTeWSe2
_chemical_formula_sum 'La1 Te1 W1 Se2'
_cell_length_a 5.454
_cell_length_b 5.454
_cell_length_c 6.189
_cell_angle_alpha 90.00
_cell_angle_beta 90.00
_cell_angle_gamma 90.00
_space_group_name_H-M_alt 'P 4/m m m'
_space_group_IT_number 123
_space_group_name_Hall '-P 4 2'
loop_
_atom_site_label
_atom_site_type_symbol
_atom_site_fract_x
_atom_site_fract_y
_atom_site_fract_z
La1 La 0.000 0.000 0.000
Te1 Te 0.000 0.000 0.500
W1 W 0.500 0.500 0.500
Se1 Se 0.000 0.500 0.000
```

Properties
Total DFT energy (no corrections)   -37.132 eV/atom

No. 3
Entry from Alexandria via LeMat-Bulk: La2ZrAs at its PBEsol-relaxed geometry (SCAN).

CIF file:
```
data_La2ZrAs
_chemical_formula_sum 'La2 Zr1 As1'
_cell_length_a 3.938
_cell_length_b 3.938
_cell_length_c 6.828
_cell_angle_alpha 90.00
_cell_angle_beta 90.00
_cell_angle_gamma 90.00
_space_group_name_H-M_alt 'P 4/m m m'
_space_group_IT_number 123
_space_group_name_Hall '-P 4 2'
loop_
_atom_site_label
_atom_site_type_symbol
_atom_site_fract_x
_atom_site_fract_y
_atom_site_fract_z
La1 La 0.000 0.000 0.220
Zr1 Zr 0.500 0.500 0.500
As1 As 0.500 0.500 0.000
```

Properties
Total DFT energy (no corrections)   -34.798 eV/atom

No. 4
Entry from Alexandria via LeMat-Bulk: Cu2HgMo at its PBEsol-relaxed geometry (SCAN).

CIF file:
```
data_Cu2HgMo
_chemical_formula_sum 'Cu4 Hg2 Mo2'
_cell_length_a 8.648
_cell_length_b 2.685
_cell_length_c 5.168
_cell_angle_alpha 90.00
_cell_angle_beta 96.89
_cell_angle_gamma 90.00
_space_group_name_H-M_alt 'C 1 2/m 1'
_space_group_IT_number 12
loop_
_space_group_symop_operation_xyz
'x,y,z'
'-x,-y,-z'
'-x,y,-z'
'x,-y,z'
'x+1/2,y+1/2,z'
'-x+1/2,-y+1/2,-z'
'-x+1/2,y+1/2,-z'
'x+1/2,-y+1/2,z'
loop_
_atom_site_label
_atom_site_type_symbol
_atom_site_fract_x
_atom_site_fract_y
_atom_site_fract_z
Cu1 Cu 0.247 0.000 0.215
Hg1 Hg 0.000 0.000 0.500
Mo1 Mo 0.000 0.500 0.000
```

Properties
Total DFT energy (no corrections)   -32.924 eV/atom

No. 5
Entry from Alexandria via LeMat-Bulk: SrHfN2 at its PBEsol-relaxed geometry (SCAN).

CIF file:
```
data_SrHfN2
_chemical_formula_sum 'Sr3 Hf3 N6'
_cell_length_a 3.3170
_cell_length_b 3.3170
_cell_length_c 17.5864
_cell_angle_alpha 90.00
_cell_angle_beta 90.00
_cell_angle_gamma 120.00
_space_group_name_H-M_alt 'R -3 m'
_space_group_IT_number 166
_space_group_name_Hall '-R 3 2"'
loop_
_atom_site_label
_atom_site_type_symbol
_atom_site_fract_x
_atom_site_fract_y
_atom_site_fract_z
Sr1 Sr 0.0000 0.0000 0.0000
Hf1 Hf 0.0000 0.0000 0.5000
N1 N 0.0000 0.0000 0.2327
```

Properties
Total DFT energy (no corrections)   -27.513 eV/atom

No. 6
Entry from Alexandria via LeMat-Bulk: SrTcAsSe2 at its PBEsol-relaxed geometry (SCAN).

CIF file:
```
data_SrTcAsSe2
_chemical_formula_sum 'Sr1 Tc1 As1 Se2'
_cell_length_a 5.493
_cell_length_b 5.493
_cell_length_c 5.426
_cell_angle_alpha 90.00
_cell_angle_beta 90.00
_cell_angle_gamma 90.00
_space_group_name_H-M_alt 'P 4/m m m'
_space_group_IT_number 123
_space_group_name_Hall '-P 4 2'
loop_
_atom_site_label
_atom_site_type_symbol
_atom_site_fract_x
_atom_site_fract_y
_atom_site_fract_z
Sr1 Sr 0.000 0.000 0.000
Tc1 Tc 0.500 0.500 0.500
As1 As 0.000 0.000 0.500
Se1 Se 0.000 0.500 0.000
```

Properties
Total DFT energy (no corrections)   -22.453 eV/atom

No. 7
Entry from Alexandria via LeMat-Bulk: Sr2InTc at its PBEsol-relaxed geometry (SCAN).

CIF file:
```
data_Sr2InTc
_chemical_formula_sum 'Sr4 In2 Tc2'
_cell_length_a 3.952
_cell_length_b 5.276
_cell_length_c 10.532
_cell_angle_alpha 90.00
_cell_angle_beta 90.00
_cell_angle_gamma 90.00
_space_group_name_H-M_alt 'I m m 2'
_space_group_IT_number 44
loop_
_space_group_symop_operation_xyz
'x,y,z'
'-x,-y,z'
'-x,y,z'
'x,-y,z'
'x+1/2,y+1/2,z+1/2'
'-x+1/2,-y+1/2,z+1/2'
'-x+1/2,y+1/2,z+1/2'
'x+1/2,-y+1/2,z+1/2'
loop_
_atom_site_label
_atom_site_type_symbol
_atom_site_fract_x
_atom_site_fract_y
_atom_site_fract_z
Sr1 Sr 0.000 0.000 0.000
Sr2 Sr 0.000 0.500 0.208
In1 In 0.000 0.500 0.778
Tc1 Tc 0.000 0.000 0.445
```

Properties
Total DFT energy (no corrections)   -27.935 eV/atom

No. 8
Entry from Alexandria via LeMat-Bulk: La2AlTe at its PBEsol-relaxed geometry (SCAN).

CIF file:
```
data_La2AlTe
_chemical_formula_sum 'La6 Al3 Te3'
_cell_length_a 4.2795
_cell_length_b 4.2795
_cell_length_c 24.1257
_cell_angle_alpha 90.00
_cell_angle_beta 90.00
_cell_angle_gamma 120.00
_space_group_name_H-M_alt 'R -3 m'
_space_group_IT_number 166
_space_group_name_Hall '-R 3 2"'
loop_
_atom_site_label
_atom_site_type_symbol
_atom_site_fract_x
_atom_site_fract_y
_atom_site_fract_z
La1 La 0.0000 0.0000 0.2503
Al1 Al 0.0000 0.0000 0.0000
Te1 Te 0.0000 0.0000 0.5000
```

Properties
Excess energy over the best structure of this formula in the dataset   0 meV/atom